An optimized crystal structure of Tb3Nd3Sc, computed with GGA-PBE.

Calculated values
As for the polymorph energy (0 for the lowest one): 231 meV/atom. The calculation puts the density of states at the Fermi level at 19.6 states/eV/cell.

a = 8.802 Å, b = 8.802 Å, c = 8.802 Å
α = 58.70°, β = 58.70°, γ = 58.70°
Sites, in units of the cell vectors:
Tb (0.728, 0.566, 0.062)
Tb (0.062, 0.728, 0.566)
Tb (0.566, 0.062, 0.728)
Tb (0.434, 0.938, 0.272)
Tb (0.938, 0.272, 0.434)
Tb (0.272, 0.434, 0.938)
Nd (0.704, 0.194, 0.931)
Nd (0.194, 0.931, 0.704)
Nd (0.931, 0.704, 0.194)
Nd (0.069, 0.296, 0.806)
Nd (0.806, 0.069, 0.296)
Nd (0.296, 0.806, 0.069)
Sc (0.344, 0.344, 0.344)
Sc (0.656, 0.656, 0.656)



An optimized crystal structure of BeSiCl2, computed with GGA-PBE.

Calculated values
As for the polymorph energy (0 for the lowest one): 575 meV/atom. The calculation puts the density of states at the Fermi level at 0.1 states/eV/cell. The calculation puts the uncorrected formation energy at 0.206 eV per atom.

a = 4.579 Å, b = 4.573 Å, c = 4.578 Å
α = 66.61°, β = 78.06°, γ = 113.39°
Sites, in units of the cell vectors:
Be (0.500, 0.500, 0.000)
Si (0.000, 0.500, 0.500)
Cl (0.000, 0.000, 0.000)
Cl (0.500, 0.000, 0.500)



An optimized crystal structure of Ce2Pu2Se7, computed with GGA-PBE.

Calculated values
The calculation puts the density of states at the Fermi level at 25.8 states/eV/cell. The calculation puts the uncorrected formation energy at -1.412 eV per atom.

a = 4.895 Å, b = 4.895 Å, c = 13.654 Å
α = 90.00°, β = 90.00°, γ = 90.00°
Site moments in Bohr magnetons follow the coordinates.
Sites, in units of the cell vectors:
Ce (0.500, 0.000, 0.857)  0.58
Ce (0.000, 0.500, 0.143)  0.58
Pu (0.500, 0.000, 0.381)  4.89
Pu (0.000, 0.500, 0.619)  4.89
Se (0.500, 0.500, 0.000)  -0.03
Se (0.000, 0.000, 0.242)  -0.08
Se (0.500, 0.500, 0.259)  -0.11
Se (0.000, 0.000, 0.500)  -0.19
Se (0.500, 0.500, 0.500)  -0.23
Se (0.000, 0.000, 0.758)  -0.08
Se (0.500, 0.500, 0.741)  -0.11



An optimized crystal structure of HfNi2Hg2, computed with GGA-PBE.

Calculated values
The calculation puts the density of states at the Fermi level at 3.1 states/eV/cell.

a = 6.764 Å, b = 6.764 Å, c = 3.730 Å
α = 90.00°, β = 90.00°, γ = 90.00°
Sites, in units of the cell vectors:
Ni (0.371, 0.871, 0.000)
Ni (0.871, 0.629, 0.000)
Ni (0.629, 0.129, 0.000)
Ni (0.129, 0.371, 0.000)
Hf (0.000, 0.000, 0.000)
Hf (0.500, 0.500, 0.000)
Hg (0.170, 0.670, 0.500)
Hg (0.670, 0.830, 0.500)
Hg (0.830, 0.330, 0.500)
Hg (0.330, 0.170, 0.500)



An optimized crystal structure of Tb3Mg2Ag3, computed with GGA-PBE.

Calculated values
The calculation puts the density of states at the Fermi level at 4.0 states/eV/cell.

a = 3.550 Å, b = 5.231 Å, c = 10.836 Å
α = 103.97°, β = 99.43°, γ = 90.00°
Sites, in units of the cell vectors:
Tb (0.624, 0.624, 0.248)
Tb (0.376, 0.376, 0.752)
Tb (0.500, 0.000, 0.000)
Mg (0.735, 0.235, 0.470)
Mg (0.265, 0.765, 0.530)
Ag (0.126, 0.126, 0.253)
Ag (0.000, 0.500, 0.000)
Ag (0.874, 0.874, 0.747)



An optimized crystal structure of Sb2RuWI, computed with GGA-PBE.

Calculated values
As for the polymorph energy (0 for the lowest one): 0 meV/atom. The calculation puts the density of states at the Fermi level at 4.6 states/eV/cell. The calculation puts the uncorrected formation energy at 1.439 eV per atom.

a = 5.025 Å, b = 5.025 Å, c = 5.492 Å
α = 90.00°, β = 90.00°, γ = 90.00°
Site moments in Bohr magnetons follow the coordinates.
Sites, in units of the cell vectors:
I (0.000, 0.000, 0.500)  -0.05
Sb (0.000, 0.500, 0.000)  -0.07
Sb (0.500, 0.000, 0.000)  -0.07
W (0.500, 0.500, 0.500)  3.00
Ru (0.000, 0.000, 0.000)  0.07



An optimized crystal structure of Er2Zn3Cu2, computed with GGA-PBE.

Calculated values
As for the polymorph energy (0 for the lowest one): 0 meV/atom. The calculation puts the density of states at the Fermi level at 4.6 states/eV/cell.

a = 4.235 Å, b = 5.247 Å, c = 6.667 Å
α = 110.93°, β = 90.00°, γ = 113.80°
Sites, in units of the cell vectors:
Er (0.854, 0.708, 0.227)
Er (0.146, 0.292, 0.773)
Zn (0.500, 0.000, 0.000)
Zn (0.619, 0.238, 0.433)
Zn (0.381, 0.762, 0.567)
Cu (0.858, 0.716, 0.790)
Cu (0.142, 0.284, 0.210)



An optimized crystal structure of NdHoTm4, computed with GGA-PBE.

Calculated values
As for the polymorph energy (0 for the lowest one): 139 meV/atom. The calculation puts the density of states at the Fermi level at 20.5 states/eV/cell.

a = 6.475 Å, b = 8.698 Å, c = 8.490 Å
α = 111.85°, β = 101.14°, γ = 111.56°
Sites, in units of the cell vectors:
Nd (0.259, 0.009, 0.017)
Nd (0.741, 0.991, 0.983)
Ho (0.337, 0.587, 0.173)
Ho (0.663, 0.413, 0.827)
Tm (0.060, 0.173, 0.745)
Tm (0.752, 0.710, 0.601)
Tm (0.185, 0.572, 0.745)
Tm (0.349, 0.891, 0.601)
Tm (0.651, 0.109, 0.399)
Tm (0.815, 0.428, 0.255)
Tm (0.248, 0.290, 0.399)
Tm (0.940, 0.827, 0.255)



An optimized crystal structure of LiNb2Rh9, computed with GGA-PBE.

Calculated values
The calculation puts the density of states at the Fermi level at 9.6 states/eV/cell.

a = 3.902 Å, b = 3.902 Å, c = 11.435 Å
α = 90.00°, β = 90.00°, γ = 90.00°
Sites, in units of the cell vectors:
Li (0.000, 0.000, 0.000)
Nb (0.000, 0.000, 0.326)
Nb (0.000, 0.000, 0.674)
Rh (0.500, 0.500, 0.000)
Rh (0.500, 0.500, 0.332)
Rh (0.500, 0.500, 0.668)
Rh (0.500, 0.000, 0.162)
Rh (0.500, 0.000, 0.500)
Rh (0.500, 0.000, 0.838)
Rh (0.000, 0.500, 0.162)
Rh (0.000, 0.500, 0.500)
Rh (0.000, 0.500, 0.838)



An optimized crystal structure of TlInNi2, computed with GGA-PBE.

Calculated values
As for the polymorph energy (0 for the lowest one): 143 meV/atom. The calculation puts the density of states at the Fermi level at 2.5 states/eV/cell.

a = 4.359 Å, b = 4.359 Å, c = 5.637 Å
α = 77.98°, β = 77.98°, γ = 42.25°
Sites, in units of the cell vectors:
In (0.750, 0.750, 0.750)
Ni (0.000, 0.000, 0.973)
Ni (0.500, 0.500, 0.527)
Tl (0.250, 0.250, 0.250)



An optimized crystal structure of HfV2Mo, computed with GGA-PBE.

Calculated values
As for the polymorph energy (0 for the lowest one): 62 meV/atom. The calculation puts the density of states at the Fermi level at 7.3 states/eV/cell.

a = 4.484 Å, b = 4.484 Å, c = 4.484 Å
α = 60.00°, β = 60.00°, γ = 60.00°
Sites, in units of the cell vectors:
Mo (0.000, 0.000, 0.000)
Hf (0.500, 0.500, 0.500)
V (0.250, 0.250, 0.250)
V (0.750, 0.750, 0.750)



An optimized crystal structure of Sr2CaGa3Pd4, computed with GGA-PBE.

Calculated values
The calculation puts the density of states at the Fermi level at 6.0 states/eV/cell.

a = 4.409 Å, b = 4.409 Å, c = 11.308 Å
α = 90.00°, β = 90.00°, γ = 90.00°
Sites, in units of the cell vectors:
Sr (0.500, 0.000, 0.229)
Sr (0.000, 0.500, 0.771)
Ca (0.500, 0.500, 0.500)
Ga (0.000, 0.000, 0.500)
Ga (0.500, 0.000, 0.884)
Ga (0.000, 0.500, 0.116)
Pd (0.500, 0.500, 0.000)
Pd (0.000, 0.000, 0.000)
Pd (0.500, 0.000, 0.656)
Pd (0.000, 0.500, 0.344)



An optimized crystal structure of CoSeCl2, computed with GGA-PBE.

Calculated values
As for the polymorph energy (0 for the lowest one): 612 meV/atom. The calculation puts the density of states at the Fermi level at 22.0 states/eV/cell. The calculation puts the uncorrected formation energy at 0.366 eV per atom.

a = 6.350 Å, b = 6.350 Å, c = 6.454 Å
α = 60.54°, β = 60.54°, γ = 90.00°
Sites, in units of the cell vectors:
Co (0.500, 0.500, 0.000)
Co (0.250, 0.750, 0.500)
Se (0.000, 0.000, 0.000)
Se (0.750, 0.250, 0.500)
Cl (0.513, 0.125, 0.250)
Cl (0.237, 0.625, 0.250)
Cl (0.375, 0.487, 0.750)
Cl (0.875, 0.763, 0.750)



An optimized crystal structure of Rb2TlTcI6, computed with GGA-PBE.

Calculated values
As for the polymorph energy (0 for the lowest one): 0 meV/atom. The calculation puts the density of states at the Fermi level at 12.5 states/eV/cell. The calculation puts the uncorrected formation energy at -0.695 eV per atom.

a = 8.201 Å, b = 8.201 Å, c = 17.051 Å
α = 76.08°, β = 76.08°, γ = 60.00°
Site moments in Bohr magnetons follow the coordinates.
Sites, in units of the cell vectors:
Rb (0.861, 0.861, 0.416)  0.00
Rb (0.139, 0.139, 0.584)  0.00
Rb (0.691, 0.691, 0.926)  0.00
Rb (0.309, 0.309, 0.074)  0.00
Tl (0.583, 0.583, 0.251)  0.00
Tl (0.417, 0.417, 0.749)  0.00
Tc (0.000, 0.000, 0.000)  1.74
Tc (0.500, 0.500, 0.500)  1.47
I (0.852, 0.373, 0.402)  0.01
I (0.373, 0.852, 0.402)  0.01
I (0.373, 0.373, 0.402)  0.01
I (0.148, 0.627, 0.598)  0.01
I (0.627, 0.148, 0.598)  0.01
I (0.627, 0.627, 0.598)  0.01
I (0.717, 0.191, 0.901)  0.02
I (0.191, 0.717, 0.901)  0.02
I (0.191, 0.191, 0.901)  0.02
I (0.283, 0.809, 0.099)  0.02
I (0.809, 0.283, 0.099)  0.02
I (0.809, 0.809, 0.099)  0.02



An optimized crystal structure of LiCrIn, computed with GGA-PBE.

Calculated values
As for the polymorph energy (0 for the lowest one): 2 meV/atom. The calculation puts the density of states at the Fermi level at 1.3 states/eV/cell.

a = 5.199 Å, b = 5.198 Å, c = 3.449 Å
α = 70.63°, β = 70.62°, γ = 38.75°
Site moments in Bohr magnetons follow the coordinates.
Sites, in units of the cell vectors:
Cr (0.004, 0.004, 0.996)  3.74
In (0.331, 0.331, 0.669)  -0.05
Li (0.665, 0.665, 0.335)  0.01



An optimized crystal structure of KPtW2, computed with GGA-PBE.

Calculated values
As for the polymorph energy (0 for the lowest one): 0 meV/atom. The calculation puts the density of states at the Fermi level at 2.9 states/eV/cell.

a = 2.835 Å, b = 2.835 Å, c = 10.050 Å
α = 90.00°, β = 90.00°, γ = 107.31°
Sites, in units of the cell vectors:
K (0.000, 0.000, 0.515)
Pt (0.500, 0.500, 0.789)
W (0.000, 0.000, 0.996)
W (0.500, 0.500, 0.200)



An optimized crystal structure of PuFeIr, computed with GGA-PBE.

Calculated values
The calculation puts the density of states at the Fermi level at 9.6 states/eV/cell.

a = 3.864 Å, b = 4.126 Å, c = 4.126 Å
α = 120.00°, β = 90.00°, γ = 90.00°
Site moments in Bohr magnetons follow the coordinates.
Sites, in units of the cell vectors:
Ir (0.167, 0.667, 0.333)  -0.34
Fe (0.167, 0.000, 0.000)  -2.01
Pu (0.667, 0.333, 0.667)  5.03



An optimized crystal structure of CrInAs3, computed with GGA-PBE.

Calculated values
As for the polymorph energy (0 for the lowest one): 0 meV/atom. The calculation puts the density of states at the Fermi level at 3.5 states/eV/cell.

a = 4.741 Å, b = 4.741 Å, c = 4.741 Å
α = 90.00°, β = 90.00°, γ = 90.00°
Sites, in units of the cell vectors:
Cr (0.000, 0.000, 0.000)
As (0.000, 0.500, 0.000)
As (0.000, 0.000, 0.500)
As (0.500, 0.000, 0.000)
In (0.500, 0.500, 0.500)



An optimized crystal structure of BeReBr2, computed with GGA-PBE.

Calculated values
As for the polymorph energy (0 for the lowest one): 992 meV/atom. The calculation puts the density of states at the Fermi level at 1.6 states/eV/cell. The calculation puts the uncorrected formation energy at 1.146 eV per atom.

a = 5.484 Å, b = 5.484 Å, c = 6.490 Å
α = 65.01°, β = 65.01°, γ = 90.00°
Sites, in units of the cell vectors:
Re (0.000, 0.000, 0.000)
Re (0.750, 0.250, 0.500)
Br (0.583, 0.125, 0.250)
Br (0.167, 0.625, 0.250)
Br (0.375, 0.417, 0.750)
Br (0.875, 0.833, 0.750)
Be (0.500, 0.500, 0.000)
Be (0.250, 0.750, 0.500)



An optimized crystal structure of AcDy4Al4, computed with GGA-PBE.

Calculated values
The calculation puts the density of states at the Fermi level at 20.4 states/eV/cell.

a = 5.788 Å, b = 9.310 Å, c = 9.310 Å
α = 90.00°, β = 90.00°, γ = 90.00°
Sites, in units of the cell vectors:
Ac (0.000, 0.000, 0.000)
Ac (0.500, 0.500, 0.500)
Dy (0.372, 0.415, 0.851)
Dy (0.872, 0.649, 0.915)
Dy (0.372, 0.585, 0.149)
Dy (0.128, 0.085, 0.649)
Dy (0.628, 0.851, 0.585)
Dy (0.128, 0.915, 0.351)
Dy (0.872, 0.351, 0.085)
Dy (0.628, 0.149, 0.415)
Al (0.619, 0.869, 0.239)
Al (0.619, 0.131, 0.761)
Al (0.119, 0.739, 0.631)
Al (0.881, 0.369, 0.739)
Al (0.881, 0.631, 0.261)
Al (0.381, 0.239, 0.131)
Al (0.381, 0.761, 0.869)
Al (0.119, 0.261, 0.369)



An optimized crystal structure of KCoI4, computed with GGA-PBE.

Calculated values
The calculation puts the density of states at the Fermi level at 11.4 states/eV/cell. The calculation puts the uncorrected formation energy at -0.469 eV per atom.

a = 9.276 Å, b = 9.276 Å, c = 9.276 Å
α = 76.24°, β = 76.24°, γ = 121.62°
Site moments in Bohr magnetons follow the coordinates.
Sites, in units of the cell vectors:
K (0.875, 0.625, 0.250)  0.00
K (0.125, 0.375, 0.750)  0.00
Co (0.625, 0.875, 0.750)  2.44
Co (0.375, 0.125, 0.250)  2.44
I (0.283, 0.711, 0.928)  0.23
I (0.639, 0.711, 0.572)  0.23
I (0.211, 0.139, 0.072)  0.23
I (0.717, 0.289, 0.072)  0.23
I (0.211, 0.783, 0.428)  0.23
I (0.789, 0.861, 0.928)  0.23
I (0.361, 0.289, 0.428)  0.23
I (0.789, 0.217, 0.572)  0.23



An optimized crystal structure of Si2GeW2, computed with GGA-PBE.

Calculated values
As for the polymorph energy (0 for the lowest one): 0 meV/atom. The calculation puts the density of states at the Fermi level at 3.9 states/eV/cell. The calculation puts the uncorrected formation energy at 0.144 eV per atom.

a = 6.849 Å, b = 6.849 Å, c = 3.315 Å
α = 90.00°, β = 90.00°, γ = 90.00°
Sites, in units of the cell vectors:
Ge (0.000, 0.000, 0.000)
Ge (0.500, 0.500, 0.000)
Si (0.137, 0.637, 0.500)
Si (0.637, 0.863, 0.500)
Si (0.863, 0.363, 0.500)
Si (0.363, 0.137, 0.500)
W (0.345, 0.845, 0.000)
W (0.845, 0.655, 0.000)
W (0.655, 0.155, 0.000)
W (0.155, 0.345, 0.000)



An optimized crystal structure of ScZn2Hg, computed with GGA-PBE.

Calculated values
The calculation puts the density of states at the Fermi level at 3.0 states/eV/cell.

a = 4.560 Å, b = 3.143 Å, c = 5.407 Å
α = 89.85°, β = 90.00°, γ = 90.00°
Sites, in units of the cell vectors:
Sc (0.500, 0.750, 0.750)
Zn (0.000, 0.246, 0.981)
Zn (0.000, 0.254, 0.519)
Hg (0.500, 0.250, 0.250)



An optimized crystal structure of TbPm3Pb2C, computed with GGA-PBE.

Calculated values
The calculation puts the density of states at the Fermi level at 0.9 states/eV/cell.

a = 4.893 Å, b = 4.979 Å, c = 8.989 Å
α = 106.08°, β = 105.79°, γ = 90.00°
Sites, in units of the cell vectors:
Tb (0.500, 0.000, 0.000)
Pm (0.000, 0.500, 0.000)
Pm (0.159, 0.159, 0.319)
Pm (0.841, 0.841, 0.681)
Pb (0.640, 0.640, 0.281)
Pb (0.360, 0.360, 0.719)
C (0.000, 0.000, 0.000)



| no. | VASP energy (Ry per atom) | calculated volume (Å³/f.u.) |
| --- | --- | --- |
| 1 | -0.3428 | 233.98 |
| 2 | -0.2208 | 72.81 |
| 3 | -0.5376 | 327.22 |
| 4 | -0.3246 | 85.32 |
| 5 | -0.2517 | 192.46 |
| 6 | -0.3649 | 138.67 |
| 7 | -0.2454 | 124.79 |
| 8 | -0.3216 | 190.73 |
| 9 | -0.5671 | 174.08 |
| 10 | -0.2870 | 70.21 |
| 11 | -0.7113 | 63.75 |
| 12 | -0.3094 | 219.83 |
| 13 | -0.2356 | 93.47 |
| 14 | -0.2272 | 477.07 |
| 15 | -0.3342 | 54.61 |
| 16 | -0.5695 | 77.10 |
| 17 | -0.7884 | 56.96 |
| 18 | -0.3657 | 106.57 |
| 19 | -0.2745 | 78.26 |
| 20 | -0.3129 | 250.80 |
| 21 | -0.2109 | 296.66 |
| 22 | -0.5976 | 77.76 |
| 23 | -0.1829 | 77.49 |
| 24 | -0.4104 | 201.78 |